DFT (PBE-GGA) results for crystalline Ca3MgP at its relaxed geometry.

The structure in POSCAR format:
```
Ca3MgP
1.0
5.222 0.000 3.653
-2.611 4.523 3.653
-2.611 -4.523 3.653
Ca P Mg
3 1 1
Direct
0.627 0.125 0.627 Ca
0.627 0.627 0.125 Ca
0.125 0.627 0.627 Ca
0.866 0.866 0.866 P
0.629 0.629 0.629 Mg
```

Values from the calculation:
Total energy ... -2.5002 eV/atom
ΔH_f (0 K) ... 0.51 eV per formula unit
Magnetization ... 0.0 μB per cell
Polymorph energy (0 for the lowest one) ... 668 meV/atom
Space-group type ... R3m, No. 160

DFT (PBE-GGA) results for crystalline KMnTe at its relaxed geometry.

The structure in POSCAR format:
```
KMnTe
1.0
5.381 0.000 0.000
2.690 4.660 0.000
2.690 1.553 4.393
Te K Mn
1 1 1
Direct
0.500 0.500 0.500 Te
0.750 0.750 0.750 K
0.000 0.000 0.000 Mn
```

Values from the calculation:
Total energy ... -3.9323 eV/atom
Magnetization ... 5.5 μB per cell
Formation energy (no corrections) ... 0.537 eV per atom
Polymorph energy (0 for the lowest one) ... 741 meV/atom
Space-group type ... F-43m, No. 216

DFT (PBE-GGA) results for crystalline Tm13Zn2 at its relaxed geometry.

The structure in POSCAR format:
```
Tm13Zn2
1.0
6.492 -0.272 0.109
-1.176 8.380 0.034
-0.328 -4.115 7.811
Tm Zn
13 2
Direct
0.258 0.790 0.154 Tm
0.026 0.498 0.702 Tm
0.512 0.386 0.619 Tm
0.275 0.351 0.960 Tm
0.000 0.000 0.000 Tm
0.769 0.020 0.425 Tm
0.974 0.502 0.298 Tm
0.231 0.980 0.575 Tm
0.488 0.614 0.381 Tm
0.742 0.210 0.846 Tm
0.454 0.824 0.816 Tm
0.546 0.176 0.184 Tm
0.725 0.649 0.040 Tm
0.153 0.228 0.361 Zn
0.847 0.772 0.639 Zn
```

Values from the calculation:
Total energy ... -4.0507 eV/atom
ΔH_f (0 K) ... -0.08 eV per formula unit
Magnetization ... 0.0 μB per cell
Space-group type ... P-1, No. 2

DFT (PBE-GGA) results for crystalline BP3S at its relaxed geometry.

The structure in POSCAR format:
```
BP3S
1.0
-1.675 -3.313 -1.791
-0.646 -1.679 3.709
-3.711 1.788 0.163
P B S
3 1 1
Direct
0.500 0.000 0.000 P
0.000 0.000 0.500 P
0.000 0.500 0.000 P
0.000 0.000 0.000 B
0.500 0.500 0.500 S
```

Values from the calculation:
Total energy ... -4.3959 eV/atom
Magnetization ... 0.0 μB per cell
Formation energy (no corrections) ... 1.011 eV per atom
Polymorph energy (0 for the lowest one) ... 0 meV/atom
Space-group type ... Pm-3m, No. 221

DFT (PBE-GGA) results for crystalline BeS2Br at its relaxed geometry.

The structure in POSCAR format:
```
BeS2Br
1.0
1.747 0.000 11.225
-0.873 1.513 11.225
-0.873 -1.513 11.225
Be S Br
1 2 1
Direct
0.000 0.000 0.000 Be
0.944 0.944 0.944 S
0.056 0.056 0.056 S
0.500 0.500 0.500 Br
```

Values from the calculation:
Total energy ... -3.0374 eV/atom
Magnetization ... 0.0 μB per cell
Formation energy (no corrections) ... 0.376 eV per atom
Polymorph energy (0 for the lowest one) ... 444 meV/atom
Space-group type ... R-3m, No. 166

Q: Number 5 is which compound?
A: BeS2Br

Q: Which value of magnetization does entry 4 give?
A: 0.0 μB per cell